Entry 1:
Ba4InGe3 (PBE, optimized geometry); space-group type = Pmm2; E_form = -0.540 eV/atom
1.0
5.1141 0.0000 0.0000
0.0000 4.4935 0.0000
0.0000 0.0000 12.5271
Ge Ba In
3 4 1
Direct
0.5000 0.0000 0.9262 Ge
0.0000 0.0000 0.4403 Ge
0.0000 0.5000 0.5649 Ge
0.0000 0.0000 0.1443 Ba
0.0000 0.5000 0.8542 Ba
0.5000 0.5000 0.3732 Ba
0.5000 0.0000 0.6354 Ba
0.5000 0.5000 0.0616 In

Entry 2:
Ba3In2Ge2 (PBE, optimized geometry); space-group type = C2/m; E_form = -0.470 eV/atom
1.0
5.1332 0.0000 0.0000
-2.5666 5.9245 -2.2591
0.0000 -0.0501 8.0248
In Ge Ba
2 2 3
Direct
0.7982 0.5964 0.0922 In
0.2018 0.4036 0.9078 In
0.0158 0.0316 0.3449 Ge
0.9842 0.9684 0.6551 Ge
0.3308 0.6616 0.4094 Ba
0.6692 0.3384 0.5906 Ba
0.5000 0.0000 0.0000 Ba

Entry 3:
Ba2In5Ge3 (PBE, optimized geometry); space-group type = P-4m2; E_form = -0.296 eV/atom
1.0
-3.4565 -3.3548 1.6329
1.6921 0.5744 4.7619
-7.2470 8.2365 1.5816
Ba In Ge
2 5 3
Direct
0.5000 0.0000 0.2584 Ba
0.0000 0.5000 0.7416 Ba
0.0000 0.0000 0.0000 In
0.5000 0.5000 0.0000 In
0.0000 0.5000 0.1440 In
0.5000 0.0000 0.8560 In
0.5000 0.5000 0.5000 In
0.0000 0.5000 0.3942 Ge
0.0000 0.0000 0.5000 Ge
0.5000 0.0000 0.6058 Ge

Entry 4:
Ba3In4Ge4 (PBE, optimized geometry); space-group type = Immm; E_form = -0.373 eV/atom
1.0
-3.6898 -3.3799 -1.7106
4.1094 -1.2860 -6.3231
3.5988 -3.6983 7.7187
Ba Ge In
3 4 4
Direct
0.0000 0.5000 0.0000 Ba
0.8777 0.8777 0.7554 Ba
0.1223 0.1223 0.2446 Ba
0.5000 0.8283 0.0000 Ge
0.2116 0.7116 0.4232 Ge
0.7884 0.2884 0.5768 Ge
0.5000 0.1717 0.0000 Ge
0.3288 0.1290 0.6575 In
0.6712 0.4715 0.3425 In
0.3288 0.5285 0.6575 In
0.6712 0.8710 0.3425 In

Entry 5:
Ba2InGe2 (PBE, optimized geometry); space-group type = C2/m; E_form = -0.481 eV/atom
1.0
-1.6083 -4.0236 -2.2868
3.8400 -5.4496 1.6391
-6.4415 -4.6097 7.3926
In Ba Ge
2 4 4
Direct
0.5252 0.2488 0.7009 In
0.4748 0.7512 0.2991 In
0.1158 0.6917 0.0766 Ba
0.7288 0.2000 0.3424 Ba
0.8842 0.3083 0.9234 Ba
0.2712 0.8000 0.6576 Ba
0.9409 0.6795 0.4387 Ge
0.4007 0.0894 0.1092 Ge
0.5993 0.9106 0.8908 Ge
0.0591 0.3205 0.5613 Ge

Entry 6:
Ba3In9Ge2 (PBE, optimized geometry); space-group type = Immm; E_form = -0.314 eV/atom
1.0
-4.2079 2.6958 -1.5424
-7.4706 -5.2383 2.3585
-3.7393 3.7082 7.8153
In Ge Ba
9 2 3
Direct
0.1392 0.1351 0.5865 In
0.8608 0.8649 0.4135 In
0.0000 0.5000 0.5000 In
0.6572 0.7088 0.9768 In
0.3428 0.2912 0.0232 In
0.1392 0.5865 0.1351 In
0.6572 0.9768 0.7088 In
0.3428 0.0232 0.2912 In
0.8608 0.4135 0.8649 In
0.5000 0.7056 0.2944 Ge
0.5000 0.2944 0.7056 Ge
0.6848 0.3152 0.3152 Ba
0.3152 0.6848 0.6848 Ba
0.0000 0.0000 0.0000 Ba

Entry 7:
Ba8InGe2 (PBE, optimized geometry); space-group type = C2/m; E_form = -0.295 eV/atom
1.0
5.8137 0.0000 0.0000
0.0000 8.1441 0.3214
-2.9068 -3.1087 10.2804
Ba In Ge
8 1 2
Direct
0.2056 0.3263 0.4112 Ba
0.9585 0.2069 0.9169 Ba
0.3300 0.0407 0.6600 Ba
0.4075 0.5537 0.8149 Ba
0.5925 0.4463 0.1851 Ba
0.7944 0.6736 0.5888 Ba
0.0415 0.7931 0.0831 Ba
0.6700 0.9593 0.3400 Ba
0.5000 0.0000 0.0000 In
0.1942 0.7210 0.3885 Ge
0.8058 0.2790 0.6115 Ge

Entry 8:
BaIn2Ge2 (PBE, optimized geometry); space-group type = P4/mbm; E_form = -0.112 eV/atom
1.0
-0.7592 -8.2600 1.7991
8.1721 -0.2548 2.2787
-0.9679 0.8661 3.5681
Ge Ba In
4 2 4
Direct
0.1239 0.3761 0.0000 Ge
0.3761 0.8761 0.0000 Ge
0.8761 0.6239 0.0000 Ge
0.6239 0.1239 0.0000 Ge
0.0000 0.0000 0.0000 Ba
0.5000 0.5000 0.0000 Ba
0.1514 0.6514 0.5000 In
0.3486 0.1514 0.5000 In
0.8486 0.3486 0.5000 In
0.6514 0.8486 0.5000 In

Entry 9:
Ba2InGe3 (PBE, optimized geometry); space-group type = Cm; E_form = -0.460 eV/atom
1.0
-1.4555 2.6290 3.6650
-6.5404 -1.0945 1.2522
2.2639 -2.6100 5.8356
Ge In Ba
3 1 2
Direct
0.8131 0.6767 0.6971 Ge
0.8442 0.1415 0.1701 Ge
0.1763 0.8346 0.8128 Ge
0.1623 0.3495 0.3259 In
0.5037 0.2439 0.7487 Ba
0.5003 0.7539 0.2454 Ba

Entry 10:
BaIn6Ge2 (PBE, optimized geometry); space-group type = P4/mmm; E_form = -0.136 eV/atom
1.0
-4.5303 -1.1575 0.6470
1.0468 -1.7081 4.2741
-1.9299 10.0654 4.4952
In Ba Ge
6 1 2
Direct
0.5000 0.5000 0.5000 In
0.5000 0.0000 0.2792 In
0.0000 0.0000 0.5000 In
0.0000 0.5000 0.2792 In
0.5000 0.0000 0.7208 In
0.0000 0.5000 0.7208 In
0.0000 0.0000 0.0000 Ba
0.5000 0.5000 0.1128 Ge
0.5000 0.5000 0.8872 Ge

Entry 11:
BaIn3Ge (PBE, optimized geometry); space-group type = Pm-3m; E_form = 1.062 eV/atom
1.0
6.2297 0.0000 0.0000
0.0000 6.2297 0.0000
0.0000 0.0000 6.2297
Ge Ba In
1 1 3
Direct
0.5000 0.5000 0.5000 Ge
0.0000 0.0000 0.0000 Ba
0.0000 0.5000 0.0000 In
0.0000 0.0000 0.5000 In
0.5000 0.0000 0.0000 In

Entry 12:
Ba2In6Ge3 (PBE, optimized geometry); space-group type = P-62m; E_form = -0.229 eV/atom
1.0
4.6754 0.0000 0.0000
0.0000 8.9161 0.0000
0.0000 -4.4581 7.7216
In Ba Ge
6 2 3
Direct
0.5000 0.6998 0.6998 In
0.5000 0.0000 0.3002 In
0.0000 0.0000 0.8021 In
0.0000 0.1979 0.1979 In
0.5000 0.3002 0.0000 In
0.0000 0.8021 0.0000 In
0.0000 0.3333 0.6667 Ba
0.0000 0.6667 0.3333 Ba
0.5000 0.3817 0.3817 Ge
0.5000 0.0000 0.6183 Ge
0.5000 0.6183 0.0000 Ge

Entry 13:
BaIn3Ge (PBE, optimized geometry); space-group type = P1; E_form = -0.307 eV/atom
1.0
4.6514 -0.0030 1.6104
-0.5986 4.9745 1.7352
0.2808 0.5056 6.7107
In Ge Ba
3 1 1
Direct
0.6541 0.9579 0.3966 In
0.7854 0.5879 0.1351 In
0.1391 0.4430 0.4270 In
0.0250 0.8303 0.6543 Ge
0.4042 0.2061 0.8982 Ba

Entry 14:
Ba2InGe2 (PBE, optimized geometry); space-group type = I4/mmm; E_form = -0.234 eV/atom
1.0
-0.8070 2.7110 2.6809
-3.7271 0.0165 -1.1386
-4.4885 -6.3775 7.9307
Ge In Ba
2 1 2
Direct
0.2500 0.7500 0.5000 Ge
0.7500 0.2500 0.5000 Ge
0.0000 0.0000 0.0000 In
0.3854 0.3854 0.2292 Ba
0.6146 0.6146 0.7708 Ba

Entry 15:
Ba4In5Ge6 (PBE, optimized geometry); space-group type = Cmc2_1; E_form = -0.379 eV/atom
1.0
4.7625 0.0000 0.0000
-2.3812 10.7744 0.0000
0.0000 0.0000 17.6419
In Ba Ge
10 8 12
Direct
0.6408 0.2816 0.4809 In
0.2969 0.5939 0.6232 In
0.3592 0.7184 0.9809 In
0.4368 0.8735 0.6798 In
0.1489 0.2978 0.6271 In
0.7031 0.4061 0.1232 In
0.6526 0.3052 0.7716 In
0.5632 0.1265 0.1798 In
0.3474 0.6948 0.2716 In
0.8511 0.7022 0.1271 In
0.1668 0.3336 0.3060 Ba
0.0317 0.0634 0.7639 Ba
0.8332 0.6664 0.8060 Ba
0.9888 0.9777 0.0036 Ba
0.0112 0.0223 0.5036 Ba
0.9683 0.9366 0.2639 Ba
0.1792 0.3584 0.9465 Ba
0.8208 0.6416 0.4465 Ba
0.2137 0.4274 0.4910 Ge
0.7764 0.5528 0.2597 Ge
0.8820 0.7641 0.6181 Ge
0.4345 0.8691 0.3979 Ge
0.2236 0.4472 0.7597 Ge
0.4503 0.9005 0.8563 Ge
0.5497 0.0995 0.3563 Ge
0.1180 0.2359 0.1181 Ge
0.5733 0.1467 0.6297 Ge
0.5655 0.1309 0.8979 Ge
0.4267 0.8533 0.1297 Ge
0.7863 0.5726 0.9910 Ge

Entry 16:
BaIn2Ge2 (PBE, optimized geometry); space-group type = P4/mbm; E_form = -0.100 eV/atom
1.0
8.7133 0.0000 0.0000
0.0000 8.7133 0.0000
0.0000 0.0000 3.5438
Ba In Ge
2 4 4
Direct
0.5000 0.5000 0.0000 Ba
0.0000 0.0000 0.0000 Ba
0.8763 0.6237 0.0000 In
0.3763 0.8763 0.0000 In
0.6237 0.1237 0.0000 In
0.1237 0.3763 0.0000 In
0.1666 0.6666 0.5000 Ge
0.8334 0.3334 0.5000 Ge
0.6666 0.8334 0.5000 Ge
0.3334 0.1666 0.5000 Ge

Entry 17:
Ba3InGe (PBE, optimized geometry); space-group type = Fmmm; E_form = -0.416 eV/atom
1.0
0.0000 5.4777 9.3232
3.9204 0.0000 9.3232
3.9204 5.4777 0.0000
Ba In Ge
6 2 2
Direct
0.0901 0.7015 0.2985 Ba
0.9099 0.2985 0.7015 Ba
0.2985 0.9099 0.0901 Ba
0.6999 0.6999 0.3001 Ba
0.7015 0.0901 0.9099 Ba
0.3001 0.3001 0.6999 Ba
0.3175 0.6825 0.6825 In
0.6825 0.3175 0.3175 In
0.7500 0.7500 0.7500 Ge
0.2500 0.2500 0.2500 Ge

Entry 18:
BaInGeIr (PBE, optimized geometry); space-group type = P4/nmm; E_form = -0.479 eV/atom
1.0
-1.8053 3.3385 1.9121
-3.8442 -1.4815 -1.0429
-0.4448 -6.3275 10.6279
Ge Ba In Ir
2 2 2 2
Direct
0.7500 0.7500 0.8945 Ge
0.2500 0.2500 0.1055 Ge
0.7500 0.7500 0.2348 Ba
0.2500 0.2500 0.7652 Ba
0.2500 0.7500 0.5000 In
0.7500 0.2500 0.5000 In
0.2500 0.7500 0.0000 Ir
0.7500 0.2500 0.0000 Ir

Entry 19:
Ba2InGeIr (PBE, optimized geometry); space-group type = P4/mmm; E_form = -0.264 eV/atom
1.0
-3.5971 -3.6053 3.5106
5.0320 -2.6083 2.4773
0.0279 3.2879 3.4051
Ge Ba In Ir
1 2 1 1
Direct
0.0000 0.0000 0.5000 Ge
0.0000 0.5000 0.0000 Ba
0.5000 0.0000 0.0000 Ba
0.5000 0.5000 0.5000 In
0.0000 0.0000 0.0000 Ir

Entry 20:
BaIn2GeIr2 (PBE, optimized geometry); space-group type = P4/mmm; E_form = -0.222 eV/atom
1.0
-4.3681 -1.4871 1.2506
1.4983 -4.5370 -0.1616
1.6494 0.3258 6.1483
Ir Ba Ge In
2 1 1 2
Direct
0.0000 0.5000 0.0000 Ir
0.5000 0.0000 0.0000 Ir
0.0000 0.0000 0.5000 Ba
0.0000 0.0000 0.0000 Ge
0.5000 0.5000 0.7511 In
0.5000 0.5000 0.2489 In

Entry 21:
BaLiInGe2 (PBE, optimized geometry); space-group type = I-4m2; E_form = -0.438 eV/atom
1.0
4.6792 0.0000 0.0000
0.0000 4.6792 0.0000
-2.3396 -2.3396 5.7448
Ge Li In Ba
2 1 1 1
Direct
0.6118 0.6118 0.2235 Ge
0.3882 0.3882 0.7765 Ge
0.2500 0.7500 0.5000 Li
0.7500 0.2500 0.5000 In
0.0000 0.0000 0.0000 Ba

Entry 22:
Ba2LiIn3Ge4 (PBE, optimized geometry); space-group type = P-4m2; E_form = -0.355 eV/atom
1.0
-0.3372 2.4364 4.2640
-0.1512 -4.2772 2.4319
10.9515 0.0794 0.8207
In Ba Ge Li
3 2 4 1
Direct
0.0000 0.0000 0.5000 In
0.5000 0.0000 0.8732 In
0.0000 0.5000 0.1268 In
0.0000 0.5000 0.7519 Ba
0.5000 0.0000 0.2481 Ba
0.5000 0.5000 0.0000 Ge
0.0000 0.5000 0.3731 Ge
0.0000 0.0000 0.0000 Ge
0.5000 0.0000 0.6269 Ge
0.5000 0.5000 0.5000 Li

Entry 23:
Ba2LiIn4Ge3 (PBE, optimized geometry); space-group type = P-4m2; E_form = -0.304 eV/atom
1.0
-1.7082 -2.2261 3.9984
4.5220 -1.4765 1.1098
1.6752 9.7481 6.1429
In Ge Li Ba
4 3 1 2
Direct
0.0000 0.0000 0.0000 In
0.0000 0.5000 0.3752 In
0.5000 0.5000 0.0000 In
0.5000 0.0000 0.6248 In
0.5000 0.0000 0.8656 Ge
0.0000 0.0000 0.5000 Ge
0.0000 0.5000 0.1344 Ge
0.5000 0.5000 0.5000 Li
0.0000 0.5000 0.7484 Ba
0.5000 0.0000 0.2516 Ba